A plane-wave DFT calculation with GGA-PBE was carried out for a relaxed structure of UHgPt.

Cell: 6.684 6.684 6.684 Å, 90.00 90.00 90.00°
Space group F-43m (No. 216)
Symmetry-distinct sites (fractional):
U 0.000 0.000 0.000 (multiplicity 4)
Hg 0.000 0.000 0.500 (multiplicity 4)
Pt 0.250 0.250 0.750 (multiplicity 4)

## Properties
- E_form: -0.165 eV/atom
- Total moment: 2.72 μB/f.u.
- E_tot: -72.574 eV for the cell shown